No. 1
The following is a PBE calculation of a relaxed ScCuAu2 crystal, from Alexandria via LeMat-Bulk.

a b c (Å): 3.429 3.469 5.896
angles (deg): 90.00 90.00 90.00
Space group Pmm2 (No. 25)
Symmetry-distinct sites (fractional):
Sc  0.000  0.000  0.000 x1
Cu  0.500  0.500  0.733 x1
Au  0.000  0.000  0.529 x1
Au  0.500  0.500  0.245 x1

As for the energy of formation from the pure elements: -0.421 eV/atom. As for the density of states at the Fermi level: 2.39 states/eV/cell.

---

No. 2
The following is a PBE calculation of a relaxed ScCu2Au crystal, from Alexandria via LeMat-Bulk.

a b c (Å): 3.0799 3.0799 24.7110
angles (deg): 90.00 90.00 120.00
Space group R-3m (No. 166, hexagonal axes)
Symmetry-distinct sites (fractional):
Sc  0.0000  0.0000  0.0000 x3
Cu  0.0000  0.0000  0.2489 x6
Au  0.0000  0.0000  0.5000 x3

As for the energy of formation from the pure elements: 0.044 eV/atom. As for the density of states at the Fermi level: 7.00 states/eV/cell.

---

Copy entry 1 word for word.
The following is a PBE calculation of a relaxed ScCuAu2 crystal, from Alexandria via LeMat-Bulk.

a b c (Å): 3.429 3.469 5.896
angles (deg): 90.00 90.00 90.00
Space group Pmm2 (No. 25)
Symmetry-distinct sites (fractional):
Sc  0.000  0.000  0.000 x1
Cu  0.500  0.500  0.733 x1
Au  0.000  0.000  0.529 x1
Au  0.500  0.500  0.245 x1

As for the energy of formation from the pure elements: -0.421 eV/atom. As for the density of states at the Fermi level: 2.39 states/eV/cell.

---

Q: energy of formation from the pure elements of number 1 (ScCuAu2)?
A: -0.421 eV/atom

---

Q: Among the records above, which one has the highest energy of formation from the pure elements?
A: ScCu2Au